# GaFe2AuC PBE relaxed
# Formation energy from the elements (eV/atom): 2.15
# Total magnetization (μB per formula unit): 5.439
# D(E_F) (states/eV/f.u.): 5.609
data_GaFe2AuC
_cell_length_a 4.9548
_cell_length_b 4.9548
_cell_length_c 4.8303
_cell_angle_alpha 90.00
_cell_angle_beta 90.00
_cell_angle_gamma 90.00
_symmetry_space_group_name_H-M 'P 4/m m m'
_symmetry_Int_Tables_number 123
_symmetry_space_group_name_Hall '-P 4 2'
loop_
_atom_site_label
_atom_site_type_symbol
_atom_site_fract_x
_atom_site_fract_y
_atom_site_fract_z
Ga1 Ga 0.0000 0.0000 0.0000
Fe1 Fe 0.0000 0.5000 0.5000
Au1 Au 0.0000 0.0000 0.5000
C1 C 0.5000 0.5000 0.0000